This record from Alexandria via LeMat-Bulk describes a geometry-optimized Cr2MoO6 structure. The functional is GGA+U.

Properties
M_tot: 18.0 μB/cell
mass density: 5.0 Mg/m³
total energy: -200.9 eV for the cell shown

Cell: 4.3820 8.8154 8.8154 Å, 120.00 90.00 90.00°
Positions (direct):
Mo1 0.5032 0.6667 0.3333
O1 0.2220 0.2215 0.1107
O2 0.2482 0.8804 0.4402
O3 0.7524 0.7732 0.5464
Mo2 0.0000 0.0000 0.0000
O4 0.7518 0.4402 0.8804
O5 0.7518 0.4402 0.5598
O6 0.2482 0.5598 0.4402
Cr1 0.0000 0.6597 0.0000
Cr2 0.0000 0.3403 0.3403
Cr3 0.0000 0.3403 0.0000
O7 0.7524 0.4536 0.2268
O8 0.2482 0.5598 0.1196
Cr4 0.0000 0.0000 0.6597
O9 0.7780 0.1107 0.2215
O10 0.2220 0.8893 0.7785
O11 0.7780 0.1107 0.8893
O12 0.7780 0.7785 0.8893
Cr5 0.0000 0.6597 0.6597
O13 0.2476 0.2268 0.7732
O14 0.2220 0.8893 0.1107
O15 0.7524 0.7732 0.2268
O16 0.2476 0.5464 0.7732
O17 0.7518 0.1196 0.5598
Cr6 0.0000 0.0000 0.3403
Mo3 0.4968 0.3333 0.6667
O18 0.2476 0.2268 0.4536